Computed, not measured: a relaxed structure of SrAc5Cd6 at the PBE level of DFT.

**Fermi-level density of states**: 13.232 states/eV per cell
**Calculated density**: 7.8 g/cm3

Cell: 5.7584 8.1530 9.1107 Å, 90.00 71.58 90.00°
Sites, in units of the cell vectors:
Cd (0.1669, 0.2498, 0.6661)
Cd (0.1669, 0.7502, 0.6661)
Cd (0.8331, 0.7502, 0.3339)
Cd (0.5000, 0.2484, 0.0000)
Cd (0.5000, 0.7516, 0.0000)
Cd (0.8331, 0.2498, 0.3339)
Ac (0.0000, 0.5000, 0.0000)
Ac (0.3333, 0.5000, 0.3334)
Ac (0.6667, 0.5000, 0.6666)
Ac (0.3343, 0.0000, 0.3315)
Ac (0.6657, 0.0000, 0.6685)
Sr (0.0000, 0.0000, 0.0000)


Computed, not measured: a relaxed structure of CaGe2I at the PBE level of DFT.

**Fermi-level density of states**: 2.455 states/eV per cell
**E_form (uncorrected)**: 0.223 eV/atom
**Calculated density**: 4.9 g/cm3
**Distance to the lowest polymorph of the same formula**: 0.128 eV/atom

Cell: 5.3274 5.3274 5.3274 Å, 60.00 60.00 60.00°
Sites, in units of the cell vectors:
Ge (0.7500, 0.7500, 0.7500)
Ge (0.2500, 0.2500, 0.2500)
Ca (0.0000, 0.0000, 0.0000)
I (0.5000, 0.5000, 0.5000)


Computed, not measured: a relaxed structure of CaPrGaIr at the PBE level of DFT.

**Fermi-level density of states**: 2.160 states/eV per cell
**Calculated density**: 8.0 g/cm3
**Distance to the lowest polymorph of the same formula**: 0.137 eV/atom

Cell: 5.0650 5.0650 5.0650 Å, 60.00 60.00 60.00°
Sites, in units of the cell vectors:
Ca (0.5000, 0.5000, 0.5000)
Pr (0.0000, 0.0000, 0.0000)
Ir (0.7500, 0.7500, 0.7500)
Ga (0.2500, 0.2500, 0.2500)


Computed, not measured: a relaxed structure of HoThSe2 at the PBE level of DFT.

**Fermi-level density of states**: 7.608 states/eV per cell
**E_form (uncorrected)**: -1.241 eV/atom
**Calculated density**: 7.3 g/cm3
**Distance to the lowest polymorph of the same formula**: 0.389 eV/atom

Cell: 4.1202 6.6581 9.1511 Å, 89.97 90.02 90.02°
Sites, in units of the cell vectors:
Se (0.2013, 0.0368, 0.0124)
Se (0.7008, 0.6637, 0.8035)
Se (0.2006, 0.1635, 0.4120)
Se (0.7010, 0.5367, 0.2036)
Th (0.7008, 0.4373, 0.5339)
Th (0.2008, 0.9383, 0.6823)
Ho (0.2012, 0.7951, 0.2737)
Ho (0.7014, 0.2954, 0.9424)


Computed, not measured: a relaxed structure of Np3NbS6 at the PBE level of DFT.

**Fermi-level density of states**: 54.773 states/eV per cell
**E_form (uncorrected)**: -1.144 eV/atom
**Calculated density**: 6.5 g/cm3

Cell: 3.8891 11.4864 12.2350 Å, 110.84 90.00 90.00°
Each line ends with the local moment (μB).
Sites, in units of the cell vectors:
Np (0.2500, 0.8551, 0.9775)  3.55
Np (0.7500, 0.1449, 0.0225)  3.55
Np (0.7500, 0.4997, 0.8442)  -3.51
Np (0.7500, 0.6530, 0.4823)  3.59
Np (0.2500, 0.3470, 0.5177)  3.59
Np (0.2500, 0.5003, 0.1558)  -3.51
Nb (0.2500, 0.1014, 0.2419)  0.06
Nb (0.7500, 0.8986, 0.7581)  0.06
S (0.7500, 0.9696, 0.1355)  -0.06
S (0.2500, 0.0304, 0.8645)  -0.06
S (0.7500, 0.1834, 0.3924)  -0.06
S (0.7500, 0.3735, 0.9984)  0.06
S (0.7500, 0.5079, 0.6152)  -0.09
S (0.2500, 0.2646, 0.1700)  -0.03
S (0.7500, 0.7354, 0.8300)  -0.03
S (0.2500, 0.3359, 0.7341)  0.04
S (0.7500, 0.6641, 0.2659)  0.04
S (0.2500, 0.6265, 0.0016)  0.06
S (0.2500, 0.8166, 0.6076)  -0.06
S (0.2500, 0.4921, 0.3848)  -0.09


Computed, not measured: a relaxed structure of Na2ZrBeS4 at the PBE level of DFT.

**E_form (uncorrected)**: -1.119 eV/atom
**Calculated density**: 3.0 g/cm3

Cell: 7.5765 7.5765 7.5879 Å, 119.95 119.95 92.13°
Sites, in units of the cell vectors:
Be (0.0000, 0.0000, 0.0000)
Be (0.5000, 0.5000, 0.5000)
S (0.2353, 0.7385, 0.9865)
S (0.7603, 0.7352, 0.5455)
S (0.7648, 0.7397, 0.9545)
S (0.2385, 0.7353, 0.4865)
S (0.7647, 0.2615, 0.0135)
S (0.2397, 0.2648, 0.4545)
S (0.7615, 0.2647, 0.5135)
S (0.2352, 0.2603, 0.0455)
Na (0.0000, 0.0000, 0.5000)
Na (0.5000, 0.5000, 0.0000)
Na (0.5000, 0.0000, 0.5000)
Na (0.5000, 0.0000, 0.0000)
Zr (0.0000, 0.5000, 0.0000)
Zr (0.0000, 0.5000, 0.5000)


Number 1: total energy -2.6128 eV per atom. Number 2: total energy -2.9733 eV per atom. Number 3: total energy -5.0933 eV per atom. Number 4: total energy -5.9823 eV per atom. Number 5: total energy -8.5094 eV per atom. Number 6: total energy -5.0469 eV per atom.